<i>
## SbTeI2O (PBE-GGA)

Data for SbTeI2O after structural relaxation. Values from VASP.

Summary:
D(E_F) in states/eV/cell: 3.6
Space-group type: P4/mmm (123)

```
&SYSTEM
  ibrav = 0, nat = 5, ntyp = 4
/
ATOMIC_SPECIES
Sb 121.76 Sb.upf
Te 127.60 Te.upf
I 126.90 I.upf
O 16.00 O.upf
CELL_PARAMETERS angstrom
5.2618 0.0000 0.0000
0.0000 5.2618 0.0000
0.0000 0.0000 4.7307
ATOMIC_POSITIONS crystal
Sb 0.0000 0.0000 0.0000
Te 0.5000 0.5000 0.0000
I 0.0000 0.5000 0.5000
I 0.5000 0.0000 0.5000
O 0.0000 0.0000 0.5000
```



<ii>
## SbTeI2O (PBE-GGA)

Data for SbTeI2O after structural relaxation. Values from VASP.

Summary:
D(E_F) in states/eV/cell: 4.1
Space-group type: P4/mmm (123)

```
&SYSTEM
  ibrav = 0, nat = 5, ntyp = 4
/
ATOMIC_SPECIES
Sb 121.76 Sb.upf
Te 127.60 Te.upf
I 126.90 I.upf
O 16.00 O.upf
CELL_PARAMETERS angstrom
6.2152 0.0000 0.0000
0.0000 6.2152 0.0000
0.0000 0.0000 4.0332
ATOMIC_POSITIONS crystal
Sb 0.0000 0.0000 0.0000
Te 0.5000 0.5000 0.5000
I 0.0000 0.5000 0.5000
I 0.5000 0.0000 0.5000
O 0.5000 0.5000 0.0000
```



Result of the stability comparison: <ii> is the most stable of them.



<i>
## SbTe2IO (PBE-GGA)

Data for SbTe2IO after structural relaxation. Values from VASP.

Summary:
D(E_F) in states/eV/cell: 11.1
Space-group type: P4/mmm (123)

```
&SYSTEM
  ibrav = 0, nat = 5, ntyp = 4
/
ATOMIC_SPECIES
Sb 121.76 Sb.upf
Te 127.60 Te.upf
I 126.90 I.upf
O 16.00 O.upf
CELL_PARAMETERS angstrom
5.7824 0.0000 0.0000
0.0000 5.7824 0.0000
0.0000 0.0000 5.9955
ATOMIC_POSITIONS crystal
Sb 0.0000 0.0000 0.0000
Te 0.0000 0.5000 0.0000
Te 0.5000 0.0000 0.0000
I 0.0000 0.0000 0.5000
O 0.5000 0.5000 0.5000
```



<ii>
## SbTe2IO (PBE-GGA)

Data for SbTe2IO after structural relaxation. Values from VASP.

Summary:
D(E_F) in states/eV/cell: 3.4
Space-group type: P4/mmm (123)

```
&SYSTEM
  ibrav = 0, nat = 5, ntyp = 4
/
ATOMIC_SPECIES
Sb 121.76 Sb.upf
Te 127.60 Te.upf
I 126.90 I.upf
O 16.00 O.upf
CELL_PARAMETERS angstrom
4.5610 0.0000 0.0000
0.0000 4.5610 0.0000
0.0000 0.0000 6.3679
ATOMIC_POSITIONS crystal
Sb 0.0000 0.0000 0.0000
Te 0.0000 0.5000 0.5000
Te 0.5000 0.0000 0.5000
I 0.5000 0.5000 0.0000
O 0.5000 0.5000 0.5000
```



Result of the stability comparison: <ii> is the most stable of them.



<i>
## SbTeIO2 (PBE-GGA)

Data for SbTeIO2 after structural relaxation. Values from VASP.

Summary:
D(E_F) in states/eV/cell: 2.9
Space-group type: P4/mmm (123)

```
&SYSTEM
  ibrav = 0, nat = 5, ntyp = 4
/
ATOMIC_SPECIES
Sb 121.76 Sb.upf
Te 127.60 Te.upf
I 126.90 I.upf
O 16.00 O.upf
CELL_PARAMETERS angstrom
4.1642 0.0000 0.0000
0.0000 4.1642 0.0000
0.0000 0.0000 7.2475
ATOMIC_POSITIONS crystal
Sb 0.0000 0.0000 0.0000
Te 0.5000 0.5000 0.5000
I 0.0000 0.0000 0.5000
O 0.0000 0.5000 0.0000
O 0.5000 0.0000 0.0000
```



<ii>
## SbTeIO2 (PBE-GGA)

Data for SbTeIO2 after structural relaxation. Values from VASP.

Summary:
D(E_F) in states/eV/cell: 2.6
Space-group type: P4/mmm (123)

```
&SYSTEM
  ibrav = 0, nat = 5, ntyp = 4
/
ATOMIC_SPECIES
Sb 121.76 Sb.upf
Te 127.60 Te.upf
I 126.90 I.upf
O 16.00 O.upf
CELL_PARAMETERS angstrom
4.1954 0.0000 0.0000
0.0000 4.1954 0.0000
0.0000 0.0000 7.6820
ATOMIC_POSITIONS crystal
Sb 0.0000 0.0000 0.0000
Te 0.5000 0.5000 0.5000
I 0.5000 0.5000 0.0000
O 0.0000 0.5000 0.5000
O 0.5000 0.0000 0.5000
```



Result of the stability comparison: <i> is the most stable of them.



<i>
## TiSbI2O (PBE-GGA)

Data for TiSbI2O after structural relaxation. Values from VASP.

Summary:
D(E_F) in states/eV/cell: 8.9
Space-group type: P4/mmm (123)

```
&SYSTEM
  ibrav = 0, nat = 5, ntyp = 4
/
ATOMIC_SPECIES
Ti 47.87 Ti.upf
Sb 121.76 Sb.upf
I 126.90 I.upf
O 16.00 O.upf
CELL_PARAMETERS angstrom
5.3111 0.0000 0.0000
0.0000 5.3111 0.0000
0.0000 0.0000 5.4513
ATOMIC_POSITIONS crystal
Ti 0.0000 0.0000 0.0000
Sb 0.0000 0.0000 0.5000
I 0.0000 0.5000 0.0000
I 0.5000 0.0000 0.0000
O 0.5000 0.5000 0.5000
```



<ii>
## TiSbI2O (PBE-GGA)

Data for TiSbI2O after structural relaxation. Values from VASP.

Summary:
D(E_F) in states/eV/cell: 3.1
Space-group type: P4/mmm (123)

```
&SYSTEM
  ibrav = 0, nat = 5, ntyp = 4
/
ATOMIC_SPECIES
Ti 47.87 Ti.upf
Sb 121.76 Sb.upf
I 126.90 I.upf
O 16.00 O.upf
CELL_PARAMETERS angstrom
5.8523 0.0000 0.0000
0.0000 5.8523 0.0000
0.0000 0.0000 3.7428
ATOMIC_POSITIONS crystal
Ti 0.0000 0.0000 0.0000
Sb 0.5000 0.5000 0.5000
I 0.0000 0.5000 0.0000
I 0.5000 0.0000 0.0000
O 0.0000 0.0000 0.5000
```



<iii>
## TiSbI2O (PBE-GGA)

Data for TiSbI2O after structural relaxation. Values from VASP.

Summary:
D(E_F) in states/eV/cell: 5.9
Space-group type: P4/mmm (123)

```
&SYSTEM
  ibrav = 0, nat = 5, ntyp = 4
/
ATOMIC_SPECIES
Ti 47.87 Ti.upf
Sb 121.76 Sb.upf
I 126.90 I.upf
O 16.00 O.upf
CELL_PARAMETERS angstrom
6.1233 0.0000 0.0000
0.0000 6.1233 0.0000
0.0000 0.0000 4.0428
ATOMIC_POSITIONS crystal
Ti 0.0000 0.0000 0.0000
Sb 0.5000 0.5000 0.5000
I 0.0000 0.5000 0.5000
I 0.5000 0.0000 0.5000
O 0.5000 0.5000 0.0000
```



Result of the stability comparison: <ii> is the most stable of them.



<i>
## TlSb2IO (PBE-GGA)

Data for TlSb2IO after structural relaxation. Values from VASP.

Summary:
D(E_F) in states/eV/cell: 4.3
Space-group type: P4/mmm (123)

```
&SYSTEM
  ibrav = 0, nat = 5, ntyp = 4
/
ATOMIC_SPECIES
Tl 204.38 Tl.upf
Sb 121.76 Sb.upf
I 126.90 I.upf
O 16.00 O.upf
CELL_PARAMETERS angstrom
4.6134 0.0000 0.0000
0.0000 4.6134 0.0000
0.0000 0.0000 7.2260
ATOMIC_POSITIONS crystal
Tl 0.0000 0.0000 0.0000
Sb 0.0000 0.5000 0.5000
Sb 0.5000 0.0000 0.5000
I 0.5000 0.5000 0.0000
O 0.5000 0.5000 0.5000
```



<ii>
## TlSb2IO (PBE-GGA)

Data for TlSb2IO after structural relaxation. Values from VASP.

Summary:
D(E_F) in states/eV/cell: 11.7
Space-group type: P4/mmm (123)

```
&SYSTEM
  ibrav = 0, nat = 5, ntyp = 4
/
ATOMIC_SPECIES
Tl 204.38 Tl.upf
Sb 121.76 Sb.upf
I 126.90 I.upf
O 16.00 O.upf
CELL_PARAMETERS angstrom
5.7662 0.0000 0.0000
0.0000 5.7662 0.0000
0.0000 0.0000 5.8866
ATOMIC_POSITIONS crystal
Tl 0.0000 0.0000 0.0000
Sb 0.0000 0.5000 0.0000
Sb 0.5000 0.0000 0.0000
I 0.0000 0.0000 0.5000
O 0.5000 0.5000 0.5000
```



Result of the stability comparison: <i> is the most stable of them.



<i>
## YSb2IO (PBE-GGA)

Data for YSb2IO after structural relaxation. Values from VASP.

Summary:
D(E_F) in states/eV/cell: 13.7
Space-group type: P4/mmm (123)

```
&SYSTEM
  ibrav = 0, nat = 5, ntyp = 4
/
ATOMIC_SPECIES
Y 88.91 Y.upf
Sb 121.76 Sb.upf
I 126.90 I.upf
O 16.00 O.upf
CELL_PARAMETERS angstrom
5.8832 0.0000 0.0000
0.0000 5.8832 0.0000
0.0000 0.0000 5.7600
ATOMIC_POSITIONS crystal
Y 0.0000 0.0000 0.0000
Sb 0.0000 0.5000 0.0000
Sb 0.5000 0.0000 0.0000
I 0.0000 0.0000 0.5000
O 0.5000 0.5000 0.5000
```



<ii>
## YSb2IO (PBE-GGA)

Data for YSb2IO after structural relaxation. Values from VASP.

Summary:
D(E_F) in states/eV/cell: 3.7
Space-group type: P4/mmm (123)

```
&SYSTEM
  ibrav = 0, nat = 5, ntyp = 4
/
ATOMIC_SPECIES
Y 88.91 Y.upf
Sb 121.76 Sb.upf
I 126.90 I.upf
O 16.00 O.upf
CELL_PARAMETERS angstrom
4.5272 0.0000 0.0000
0.0000 4.5272 0.0000
0.0000 0.0000 6.0675
ATOMIC_POSITIONS crystal
Y 0.0000 0.0000 0.0000
Sb 0.0000 0.5000 0.5000
Sb 0.5000 0.0000 0.5000
I 0.5000 0.5000 0.0000
O 0.5000 0.5000 0.5000
```



Result of the stability comparison: <ii> is the most stable of them.